SrCdSn2Br8 | GGA-PBE | relaxed

Unit cell a=7.129 b=6.765 c=8.890 alpha=90.00 beta=90.00 gamma=89.32
Positions (direct):
Sr 0.000 0.000 0.500
Cd 0.000 0.000 0.000
Sn 0.500 0.500 0.760
Sn 0.500 0.500 0.240
Br 0.155 0.766 0.229
Br 0.669 0.752 0.000
Br 0.844 0.234 0.229
Br 0.845 0.234 0.771
Br 0.331 0.248 0.000
Br 0.156 0.766 0.771
Br 0.655 0.734 0.500
Br 0.345 0.266 0.500

Properties
SG   P2/m (10)
Crystal system   monoclinic

***

DyMgTlBi | GGA-PBE | relaxed

Unit cell a=5.375 b=5.375 c=5.375 alpha=60.00 beta=60.00 gamma=60.00
Positions (direct):
Mg 0.750 0.750 0.750
Tl 0.000 0.000 0.000
Bi 0.500 0.500 0.500
Dy 0.250 0.250 0.250

Properties
SG   F-43m (216)
Formation energy from the elements   -222 meV/atom
Crystal system   cubic

***

AcPmPr2 | GGA-PBE | relaxed

Unit cell a=3.683 b=3.683 c=13.291 alpha=82.04 beta=82.04 gamma=60.00
Positions (direct):
Pr 0.092 0.092 0.725
Pr 0.908 0.908 0.275
Ac 0.000 0.000 0.000
Pm 0.500 0.500 0.500

Properties
SG   R-3m (166)
Polymorph energy (0 for the lowest one)   0.135 eV/atom
Formation energy from the elements   155 meV/atom
Crystal system   trigonal

***

LiTlS14 | GGA-PBE | relaxed

Unit cell a=12.025 b=12.025 c=12.025 alpha=143.06 beta=106.35 gamma=85.36
Positions (direct):
Li 0.500 0.000 0.000
Li 0.500 0.500 0.500
Tl 0.177 0.750 0.427
Tl 0.823 0.250 0.573
S 0.220 0.304 0.915
S 0.780 0.696 0.085
S 0.889 0.804 0.085
S 0.111 0.196 0.915
S 0.486 0.858 0.628
S 0.514 0.142 0.372
S 0.730 0.358 0.372
S 0.270 0.642 0.628
S 0.698 0.845 0.853
S 0.302 0.155 0.147
S 0.492 0.345 0.147
S 0.508 0.655 0.853
S 0.180 0.611 0.066
S 0.820 0.886 0.431
S 0.044 0.111 0.431
S 0.956 0.386 0.066
S 0.820 0.389 0.934
S 0.180 0.114 0.569
S 0.956 0.889 0.569
S 0.044 0.614 0.934
S 0.760 0.142 0.088
S 0.240 0.328 0.381
S 0.554 0.642 0.381
S 0.446 0.828 0.088
S 0.240 0.858 0.912
S 0.760 0.672 0.619
S 0.446 0.358 0.619
S 0.554 0.172 0.912

Properties
SG   Imma (74)
Crystal system   orthorhombic

***

Tl3In5 | GGA-PBE | relaxed

Unit cell a=3.313 b=3.313 c=23.676 alpha=90.00 beta=90.00 gamma=117.52
Positions (direct):
Tl 0.000 0.000 0.131
Tl 0.500 0.500 0.000
Tl 0.000 0.000 0.869
In 0.500 0.500 0.744
In 0.000 0.000 0.623
In 0.500 0.500 0.500
In 0.000 0.000 0.377
In 0.500 0.500 0.256

Properties
SG   Cmmm (65)
Polymorph energy (0 for the lowest one)   0.026 eV/atom
Formation energy from the elements   36 meV/atom
Crystal system   orthorhombic

***

NdLuNiPt | GGA-PBE | relaxed

Unit cell a=4.913 b=4.913 c=4.913 alpha=60.00 beta=60.00 gamma=60.00
Positions (direct):
Ni 0.000 0.000 0.000
Lu 0.250 0.250 0.250
Nd 0.750 0.750 0.750
Pt 0.500 0.500 0.500

Properties
SG   F-43m (216)
Formation energy from the elements   -738 meV/atom
Crystal system   cubic

***

Ce2TmMo2C4 | GGA-PBE | relaxed

Unit cell a=3.445 b=7.112 c=6.029 alpha=106.40 beta=90.00 gamma=104.02
Positions (direct):
Ce 0.872 0.744 0.472
Ce 0.128 0.256 0.528
Tm 0.000 0.000 0.000
Mo 0.323 0.646 0.991
Mo 0.677 0.354 0.009
C 0.774 0.548 0.780
C 0.226 0.452 0.220
C 0.456 0.912 0.244
C 0.544 0.088 0.756

Properties
SG   C2/m (12)
Formation energy from the elements   -82 meV/atom
Crystal system   monoclinic

***

PmHoTh3 | GGA-PBE | relaxed

Unit cell a=5.997 b=11.843 c=8.304 alpha=135.48 beta=111.17 gamma=90.00
Positions (direct):
Pm 0.500 0.000 0.000
Pm 0.000 0.500 0.000
Ho 0.695 0.750 0.500
Ho 0.305 0.250 0.500
Th 0.669 0.169 0.838
Th 0.669 0.669 0.838
Th 0.331 0.331 0.162
Th 0.331 0.831 0.162
Th 0.000 0.500 0.500
Th 0.000 0.000 0.500

Properties
SG   Imma (74)
Formation energy from the elements   380 meV/atom
Crystal system   orthorhombic

***

AcIn2Cl5 | GGA-PBE | relaxed

Unit cell a=8.371 b=9.174 c=13.135 alpha=90.00 beta=90.00 gamma=90.00
Positions (direct):
Ac 0.422 0.250 0.505
Ac 0.578 0.750 0.495
Ac 0.922 0.750 0.995
Ac 0.078 0.250 0.005
In 0.470 0.501 0.827
In 0.530 0.499 0.173
In 0.970 0.499 0.673
In 0.530 0.001 0.173
In 0.030 0.501 0.327
In 0.470 0.999 0.827
In 0.030 0.999 0.327
In 0.970 0.001 0.673
Cl 0.071 0.250 0.507
Cl 0.929 0.750 0.493
Cl 0.571 0.750 0.993
Cl 0.429 0.250 0.007
Cl 0.337 0.957 0.581
Cl 0.663 0.043 0.419
Cl 0.837 0.043 0.919
Cl 0.663 0.457 0.419
Cl 0.163 0.957 0.081
Cl 0.337 0.543 0.581
Cl 0.163 0.543 0.081
Cl 0.837 0.457 0.919
Cl 0.168 0.250 0.789
Cl 0.832 0.750 0.211
Cl 0.668 0.750 0.711
Cl 0.332 0.250 0.289
Cl 0.621 0.250 0.687
Cl 0.379 0.750 0.313
Cl 0.121 0.750 0.813
Cl 0.879 0.250 0.187

Properties
SG   Pnma (62)
Crystal system   orthorhombic

***

Ca3P4Pd7 | GGA-PBE | relaxed

Unit cell a=4.036 b=7.995 c=8.253 alpha=70.58 beta=75.85 gamma=75.38
Positions (direct):
Ca 0.326 0.174 0.173
Ca 0.674 0.826 0.827
Ca 0.000 0.500 0.500
P 0.667 0.436 0.230
P 0.333 0.564 0.770
P 0.893 0.894 0.320
P 0.107 0.106 0.680
Pd 0.303 0.857 0.537
Pd 0.491 0.247 0.772
Pd 0.827 0.428 0.918
Pd 0.697 0.143 0.463
Pd 0.173 0.572 0.082
Pd 0.000 0.000 0.000
Pd 0.509 0.753 0.228

Properties
SG   C2/m (12)
Formation energy from the elements   -823 meV/atom
Crystal system   monoclinic

***

PrCdGaPt | GGA-PBE | relaxed

Unit cell a=4.952 b=4.952 c=4.952 alpha=60.00 beta=60.00 gamma=60.00
Positions (direct):
Pr 0.000 0.000 0.000
Ga 0.750 0.750 0.750
Pt 0.250 0.250 0.250
Cd 0.500 0.500 0.500

Properties
SG   F-43m (216)
Formation energy from the elements   -576 meV/atom
Crystal system   cubic

***

Pr2TiAl3Pt4 | GGA-PBE | relaxed

Unit cell a=4.342 b=4.342 c=10.413 alpha=90.00 beta=90.00 gamma=90.00
Site moments in Bohr magnetons follow the coordinates.
Positions (direct):
Pr 0.500 0.000 0.245  0.03
Pr 0.000 0.500 0.755  0.03
Ti 0.500 0.500 0.500  0.27
Al 0.000 0.000 0.500  0.00
Al 0.500 0.000 0.876  0.00
Al 0.000 0.500 0.124  0.00
Pt 0.500 0.500 0.000  0.01
Pt 0.000 0.000 0.000  0.01
Pt 0.500 0.000 0.636  0.01
Pt 0.000 0.500 0.364  0.01

Properties
SG   P-4m2 (115)
Formation energy from the elements   -1055 meV/atom
Crystal system   tetragonal

***

| no. | magnetic moment (Bohr magnetons per cell) | calculated volume (Å³ per atom) | total DFT energy (no corrections) (eV per atom) |
| --- | --- | --- | --- |
| 1 | 0.00 | 35.7 | -3.09 |
| 2 | 0.00 | 27.4 | -3.33 |
| 3 | 0.00 | 38.5 | -4.45 |
| 4 | 0.00 | 30.3 | -3.70 |
| 5 | 0.00 | 28.8 | -2.56 |
| 6 | 0.00 | 21.0 | -6.02 |
| 7 | 0.00 | 15.2 | -8.40 |
| 8 | 0.00 | 35.4 | -5.94 |
| 9 | 0.00 | 31.5 | -4.00 |
| 10 | 0.00 | 17.1 | -5.39 |
| 11 | 0.00 | 21.5 | -4.27 |
| 12 | 0.48 | 19.6 | -6.34 |